DFT (GGA+U) results for a relaxed YFeO3 crystal.

For the total moment, the calculation gives 20.000 μB/cell. The total energy comes out at -156.928 eV per cell. As for the calculated density: 4.796 g cm⁻³.

It has space group C2/m (No. 12), with a = 9.6697 Å, b = 4.2685 Å, c = 7.1446 Å, α = 90.00°, β = 115.14° and γ = 90.00°. The distinct sites, in fractional coordinates, are Y at (0.0507, 0.0000, 0.3006), Fe at (0.1778, 0.5000, 0.0771), O at (0.0201, 0.5000, 0.1953), O at (0.1599, 0.0000, 0.6398) and O at (0.1671, 0.0000, 0.0471).